# Cs2SrCu2F7 | the Alexandria database | PBE | relaxed
# V   17.12 Å³ per atom
# Total magnetization   2.055 μB per cell
# Formation energy (no corrections)   -2.438 eV/atom
data_Cs2SrCu2F7
_space_group_name_H-M_alt 'C 1 2/m 1'
_space_group_IT_number 12
_space_group_name_Hall '-C 2y'
_cell_length_a 6.0500
_cell_length_b 6.0497
_cell_length_c 11.6247
_cell_angle_alpha 90.00
_cell_angle_beta 105.02
_cell_angle_gamma 90.00
loop_
_atom_site_label
_atom_site_fract_x
_atom_site_fract_y
_atom_site_fract_z
_atom_site_occupancy
Cs1 0.1795 0.0000 0.3609 1
Sr1 0.0000 0.0000 0.0000 1
Cu1 0.0898 0.5000 0.1804 1
F1 0.0000 0.5000 0.0000 1
F2 0.1751 0.2500 0.8494 1
F3 0.1804 0.5000 0.3630 1

# Cs2TbCuF6 | the Alexandria database | PBE | relaxed
# V   20.36 Å³ per atom
# Total magnetization   0.278 μB per cell
# Formation energy (no corrections)   -2.945 eV/atom
data_Cs2TbCuF6
_space_group_name_H-M_alt 'F m m m'
_space_group_IT_number 69
_space_group_name_Hall '-F 2 2'
_cell_length_a 8.2588
_cell_length_b 9.9051
_cell_length_c 9.9541
_cell_angle_alpha 90.00
_cell_angle_beta 90.00
_cell_angle_gamma 90.00
loop_
_atom_site_label
_atom_site_fract_x
_atom_site_fract_y
_atom_site_fract_z
_atom_site_occupancy
Cs1 0.2500 0.2500 0.2500 1
Tb1 0.0000 0.0000 0.0000 1
Cu1 0.0000 0.0000 0.5000 1
F1 0.0000 0.0000 0.2195 1
F2 0.0000 0.2205 0.0000 1
F3 0.2296 0.0000 0.5000 1

# CsTbCuF6 | the Alexandria database | PBE | relaxed
# V   16.89 Å³ per atom
# Total magnetization   4.002 μB per cell
# Formation energy (no corrections)   -2.943 eV/atom
data_CsTbCuF6
_space_group_name_H-M_alt 'I m m a'
_space_group_IT_number 74
_space_group_name_Hall '-I 2b 2'
_cell_length_a 7.4912
_cell_length_b 7.9221
_cell_length_c 10.2463
_cell_angle_alpha 90.00
_cell_angle_beta 90.00
_cell_angle_gamma 90.00
loop_
_atom_site_label
_atom_site_fract_x
_atom_site_fract_y
_atom_site_fract_z
_atom_site_occupancy
Cs1 0.0000 0.2500 0.1615 1
Tb1 0.2500 0.2500 0.7500 1
Cu1 0.0000 0.0000 0.5000 1
F1 0.0000 0.2500 0.6146 1
F2 0.0000 0.2500 0.8713 1
F3 0.1915 0.0023 0.3686 1

# CsCu2TeF | the Alexandria database | PBE | relaxed
# V   27.78 Å³ per atom
# Total magnetization   0.000 μB per cell
# Formation energy (no corrections)   0.436 eV/atom
data_CsCu2TeF
_space_group_name_H-M_alt 'P 4/m m m'
_space_group_IT_number 123
_space_group_name_Hall '-P 4 2'
_cell_length_a 5.4163
_cell_length_b 5.4163
_cell_length_c 4.7340
_cell_angle_alpha 90.00
_cell_angle_beta 90.00
_cell_angle_gamma 90.00
loop_
_atom_site_label
_atom_site_fract_x
_atom_site_fract_y
_atom_site_fract_z
_atom_site_occupancy
Cs1 0.0000 0.0000 0.0000 1
Cu1 0.0000 0.5000 0.0000 1
Te1 0.5000 0.5000 0.5000 1
F1 0.0000 0.0000 0.5000 1

# CsCu2TeF8 | the Alexandria database | PBE | relaxed
# V   19.17 Å³ per atom
# Total magnetization   3.150 μB per cell
# Formation energy (no corrections)   -1.812 eV/atom
data_CsCu2TeF8
_space_group_name_H-M_alt 'R 3 2'
_space_group_IT_number 155
_space_group_name_Hall 'R 3 2"'
_cell_length_a 5.4608
_cell_length_b 5.4608
_cell_length_c 26.7194
_cell_angle_alpha 90.00
_cell_angle_beta 90.00
_cell_angle_gamma 120.00
loop_
_atom_site_label
_atom_site_fract_x
_atom_site_fract_y
_atom_site_fract_z
_atom_site_occupancy
Cs1 0.0000 0.0000 0.0000 1
Cu1 0.0000 0.0000 0.2595 1
Te1 0.0000 0.0000 0.5000 1
F1 0.0000 0.0000 0.3283 1
F2 0.0050 0.4113 0.1176 1

# Cs2ThCu3F12 | the Alexandria database | PBE | relaxed
# V   17.77 Å³ per atom
# Total magnetization   8.451 μB per cell
# Formation energy (no corrections)   -2.537 eV/atom
data_Cs2ThCu3F12
_space_group_name_H-M_alt 'R -3 m'
_space_group_IT_number 166
_space_group_name_Hall '-R 3 2"'
_cell_length_a 7.3694
_cell_length_b 7.3694
_cell_length_c 20.4080
_cell_angle_alpha 90.00
_cell_angle_beta 90.00
_cell_angle_gamma 120.00
loop_
_atom_site_label
_atom_site_fract_x
_atom_site_fract_y
_atom_site_fract_z
_atom_site_occupancy
Cs1 0.0000 0.0000 0.1046 1
Th1 0.0000 0.0000 0.5000 1
Cu1 0.0000 0.5000 0.0000 1
F1 0.0233 0.5116 0.1141 1
F2 0.0737 0.5368 0.3304 1

# Cs2TiCu3F12 | the Alexandria database | PBE | relaxed
# V   16.46 Å³ per atom
# Total magnetization   5.953 μB per cell
# Formation energy (no corrections)   -2.404 eV/atom
data_Cs2TiCu3F12
_space_group_name_H-M_alt 'P 1 21/c 1'
_space_group_IT_number 14
_space_group_name_Hall '-P 2ybc'
_cell_length_a 7.9832
_cell_length_b 7.0707
_cell_length_c 12.3075
_cell_angle_alpha 90.00
_cell_angle_beta 121.46
_cell_angle_gamma 90.00
loop_
_atom_site_label
_atom_site_fract_x
_atom_site_fract_y
_atom_site_fract_z
_atom_site_occupancy
Cs1 0.1543 0.0029 0.3836 1
Ti1 0.0000 0.0000 0.0000 1
Cu1 0.4859 0.2218 0.7399 1
Cu2 0.5000 0.0000 0.0000 1
F1 0.1433 0.2222 0.0824 1
F2 0.1638 0.6454 0.6473 1
F3 0.1653 0.5517 0.4356 1
F4 0.3961 0.1662 0.8549 1
F5 0.4342 0.5355 0.1778 1
F6 0.4721 0.7220 0.3986 1

# CsTiCu2F8 | the Alexandria database | PBE | relaxed
# V   18.28 Å³ per atom
# Total magnetization   3.052 μB per cell
# Formation energy (no corrections)   -2.383 eV/atom
data_CsTiCu2F8
_space_group_name_H-M_alt 'R -3 m'
_space_group_IT_number 166
_space_group_name_Hall '-R 3 2"'
_cell_length_a 5.5379
_cell_length_b 5.5379
_cell_length_c 24.7735
_cell_angle_alpha 90.00
_cell_angle_beta 90.00
_cell_angle_gamma 120.00
loop_
_atom_site_label
_atom_site_fract_x
_atom_site_fract_y
_atom_site_fract_z
_atom_site_occupancy
Cs1 0.0000 0.0000 0.0000 1
Ti1 0.0000 0.0000 0.5000 1
Cu1 0.0000 0.0000 0.2573 1
F1 0.0000 0.0000 0.3315 1
F2 0.0133 0.5066 0.1222 1

- What is the total magnetization in the seventh record?
  5.953 μB per cell